The following is a PBE with a Hubbard U calculation of a relaxed structure of Li2DyMoO4, from Alexandria.

Structure (POSCAR):
```
Li2DyMoO4
1.0
-0.341 -1.204 4.234
0.641 -4.215 -1.147
4.623 3.286 -0.995
Li Dy Mo O
2 1 1 4
Direct
0.250 0.750 0.500
0.000 0.000 0.000
0.500 0.500 0.000
0.750 0.250 0.500
0.975 0.475 0.950
0.525 0.025 0.050
0.740 0.740 0.480
0.260 0.260 0.520
```

- total energy (eV per atom) = -6.75
- density of states at the Fermi level (states/eV/f.u.) = 0.00
- symmetry = No. 119